(1)
Compound: YPuTlPb
Source: Alexandria via LeMat-Bulk
Functional: PBE
Structure: optimized geometry

Values from the calculation:
V (A^3/atom): 28.27
VASP energy (eV per atom): -6.934
Spin magnetization (μB/f.u.): 6.3
Crystal system: cubic

Cell: 7.676 7.676 7.676 Å, 90.00 90.00 90.00°
Space group F-43m (No. 216)
Asymmetric unit:
Y1 0.000 0.000 0.000
Pu1 0.000 0.000 0.500
Tl1 0.250 0.250 0.750
Pb1 0.250 0.250 0.250

***

(2)
Compound: NaGa2Ag7
Source: Alexandria via LeMat-Bulk
Functional: PBE
Structure: optimized geometry

Values from the calculation:
V (A^3/atom): 23.30
VASP energy (eV per atom): -2.571
Spin magnetization (μB/f.u.): 0.0
Crystal system: orthorhombic

Cell: 7.595 12.686 4.837 Å, 90.00 90.00 90.00°
Space group Cmmm (No. 65)
Asymmetric unit:
Na1 0.000 0.000 0.000
Ga1 0.000 0.298 0.500
Ag1 0.000 0.226 0.000
Ag2 0.000 0.500 0.500
Ag3 0.183 0.118 0.500

***

(3)
Compound: MnNb2P2
Source: Alexandria via LeMat-Bulk
Functional: PBE
Structure: optimized geometry

Values from the calculation:
V (A^3/atom): 15.08
VASP energy (eV per atom): -8.148
Spin magnetization (μB/f.u.): 0.0
Crystal system: tetragonal

Cell: 3.276 3.276 14.058 Å, 90.00 90.00 90.00°
Space group I4/mmm (No. 139)
Asymmetric unit:
Mn1 0.000 0.000 0.000
Nb1 0.000 0.000 0.391
P1 0.000 0.500 0.250

***

(4)
Compound: ZrAs2Pt
Source: Alexandria via LeMat-Bulk
Functional: PBE
Structure: optimized geometry

Values from the calculation:
V (A^3/atom): 18.53
VASP energy (eV per atom): -6.263
Spin magnetization (μB/f.u.): 0.0
Crystal system: cubic

Cell: 6.668 6.668 6.668 Å, 90.00 90.00 90.00°
Space group F-43m (No. 216)
Asymmetric unit:
Zr1 0.000 0.000 0.000
As1 0.000 0.000 0.500
As2 0.250 0.250 0.250
Pt1 0.250 0.250 0.750